No. 1
Material: CaPaZn2N4
Method: DFT, PBE
State: optimized geometry

Uncorrected formation energy (eV per atom): -0.5268
Space-group type: I-42m
E (Ha/atom): -0.237
Mass density (g/cm3): 6.91
N(E_F) (states/eV/atom): 0.702

Unit cell a=5.600 b=5.600 c=7.018 alpha=90.00 beta=90.00 gamma=90.00
Element x y z (fractional)
Ca (0.000, 0.000, 0.000)
Ca (0.500, 0.500, 0.500)
Pa (0.000, 0.000, 0.500)
Pa (0.500, 0.500, 0.000)
Zn (0.000, 0.500, 0.250)
Zn (0.000, 0.500, 0.750)
Zn (0.500, 0.000, 0.250)
Zn (0.500, 0.000, 0.750)
N (0.232, 0.232, 0.332)
N (0.232, 0.768, 0.668)
N (0.268, 0.268, 0.832)
N (0.268, 0.732, 0.168)
N (0.732, 0.268, 0.168)
N (0.732, 0.732, 0.832)
N (0.768, 0.232, 0.668)
N (0.768, 0.768, 0.332)

No. 2
Material: TePd3Se
Method: DFT, PBE
State: optimized geometry

Uncorrected formation energy (eV per atom): 0.4987
Relative energy among the computed polymorphs (eV/atom): 0.7198
Space-group type: Pm-3m
E (Ha/atom): -0.145
Mass density (g/cm3): 7.09
N(E_F) (states/eV/atom): 1.150

Unit cell a=4.975 b=4.975 c=4.975 alpha=90.00 beta=90.00 gamma=90.00
Element x y z (fractional)
Te (0.000, 0.000, 0.000)
Pd (0.000, 0.000, 0.500)
Pd (0.000, 0.500, 0.000)
Pd (0.500, 0.000, 0.000)
Se (0.500, 0.500, 0.500)

No. 3
Material: Pm4GaPb
Method: DFT, PBE
State: optimized geometry

ΔE_f (eV per atom): -0.257
Space-group type: P4/mmm
E (Ha/atom): -0.167
Mass density (g/cm3): 7.12
N(E_F) (states/eV/atom): 1.270

Unit cell a=5.197 b=5.197 c=7.396 alpha=90.00 beta=90.00 gamma=90.00
Element x y z (fractional)
Pm (0.000, 0.500, 0.231)
Pm (0.000, 0.500, 0.769)
Pm (0.500, 0.000, 0.231)
Pm (0.500, 0.000, 0.769)
Ga (0.000, 0.000, 0.000)
Pb (0.500, 0.500, 0.500)

No. 4
Material: K2RbPb
Method: DFT, PBE
State: optimized geometry

Relative energy among the computed polymorphs (eV/atom): 0.0000
ΔE_f (eV per atom): -0.046
Space-group type: P2_1/c
E (Ha/atom): -0.065
Mass density (g/cm3): 2.75
N(E_F) (states/eV/atom): 0.825

Unit cell a=10.648 b=7.573 c=12.541 alpha=90.00 beta=117.63 gamma=90.00
Element x y z (fractional)
K (0.124, 0.040, 0.368)
K (0.124, 0.460, 0.868)
K (0.244, 0.575, 0.567)
K (0.244, 0.925, 0.067)
K (0.756, 0.075, 0.933)
K (0.756, 0.425, 0.433)
K (0.876, 0.540, 0.132)
K (0.876, 0.960, 0.632)
Rb (0.341, 0.091, 0.774)
Rb (0.341, 0.409, 0.274)
Rb (0.659, 0.591, 0.726)
Rb (0.659, 0.909, 0.226)
Pb (0.473, 0.650, 0.917)
Pb (0.473, 0.850, 0.417)
Pb (0.527, 0.150, 0.583)
Pb (0.527, 0.350, 0.083)